Here is a relaxed Ho2CoSi4Ir crystal from the Open Quantum Materials Database. Energies are from PBE-GGA.

```
Ho2CoSi4Ir
1.0
4.030 0.000 0.000
0.000 2.022 8.320
0.000 -2.022 8.320
Co Ho Ir Si
1 2 1 4
direct
0.000 0.177 0.177 Co
0.000 0.397 0.397 Ho
0.500 0.607 0.607 Ho
0.500 0.824 0.824 Ir
0.000 0.044 0.044 Si
0.500 0.243 0.243 Si
0.000 0.743 0.743 Si
0.500 0.965 0.965 Si
```

Properties
total moment	0.0	μB per cell
density	8.490	g cm⁻³
VASP energy	-6.696	eV/atom

=====

Here is a relaxed Tb2HoCoSn3Ir2 crystal from the Open Quantum Materials Database. Energies are from PBE-GGA.

```
Tb2HoCoSn3Ir2
1.0
3.792 0.000 0.000
0.000 6.521 3.774
0.000 -6.521 3.774
Co Ho Ir Sn Tb
1 1 2 3 2
direct
0.000 0.999 0.999 Co
0.000 0.593 0.593 Ho
0.500 0.666 0.335 Ir
0.500 0.335 0.666 Ir
0.500 0.253 0.253 Sn
0.500 0.999 0.747 Sn
0.500 0.747 0.999 Sn
0.000 0.000 0.407 Tb
0.000 0.407 0.000 Tb
```

Properties
total moment	0.0	μB per cell
density	11.408	g cm⁻³
VASP energy	-6.373	eV/atom

=====

Here is a relaxed KYHoCo2 crystal from the Open Quantum Materials Database. Energies are from PBE-GGA.

```
KYHoCo2
1.0
3.864 0.000 0.000
0.000 1.946 8.923
0.000 -1.946 8.923
Co Ho K Y
2 1 1 1
direct
0.500 0.219 0.219 Co
0.500 0.778 0.778 Co
0.000 0.668 0.668 Ho
0.500 0.001 0.001 K
0.000 0.333 0.333 Y
```

Properties
total moment	0.1	μB per cell
density	5.084	g cm⁻³
VASP energy	-5.233	eV/atom

=====

Here is a relaxed LaHoCo2Si2 crystal from the Open Quantum Materials Database. Energies are from PBE-GGA.

```
LaHoCo2Si2
1.0
-3.262 -2.286 -0.485
1.770 -2.960 2.051
-2.641 2.515 5.909
Co Ho La Si
2 1 1 2
direct
0.500 0.000 0.994 Co
0.000 0.500 0.994 Co
0.000 0.000 0.699 Ho
0.500 0.500 0.328 La
0.000 0.000 0.165 Si
0.500 0.500 0.819 Si
```

Properties
total moment	0.6	μB per cell
density	7.099	g cm⁻³
VASP energy	-6.471	eV/atom

=====

Here is a relaxed LiHoCo crystal from the Open Quantum Materials Database. Energies are from PBE-GGA.

```
LiHoCo
1.0
0.000 2.982 2.982
2.982 0.000 2.982
2.982 2.982 0.000
Co Ho Li
1 1 1
direct
0.000 0.000 0.000 Co
0.500 0.500 0.500 Ho
0.250 0.250 0.250 Li
```

Properties
total moment	0.0	μB per cell
density	7.225	g cm⁻³
VASP energy	-4.071	eV/atom

=====

Here is a relaxed LiHoCoS3 crystal from the Open Quantum Materials Database. Energies are from PBE-GGA.

```
LiHoCoS3
1.0
3.732 0.000 0.000
1.866 5.943 0.000
0.000 0.000 10.316
Co Ho Li S
2 2 2 6
direct
0.518 0.964 0.250 Co
0.482 0.036 0.750 Co
0.000 0.000 0.000 Ho
0.000 0.000 0.500 Ho
0.227 0.547 0.250 Li
0.773 0.453 0.750 Li
0.643 0.714 0.087 S
0.912 0.176 0.250 S
0.643 0.714 0.413 S
0.357 0.286 0.587 S
0.088 0.824 0.750 S
0.357 0.286 0.913 S
```

Properties
total moment	4.8	μB per cell
density	4.746	g cm⁻³
VASP energy	-5.505	eV/atom

=====

Here is a relaxed LiHoCoSe3 crystal from the Open Quantum Materials Database. Energies are from PBE-GGA.

```
LiHoCoSe3
1.0
3.878 0.000 0.000
1.939 6.406 0.000
0.000 0.000 10.659
Co Ho Li Se
2 2 2 6
direct
0.520 0.961 0.250 Co
0.480 0.039 0.750 Co
0.000 0.000 0.000 Ho
0.000 0.000 0.500 Ho
0.220 0.561 0.250 Li
0.780 0.439 0.750 Li
0.644 0.712 0.083 Se
0.909 0.181 0.250 Se
0.644 0.712 0.417 Se
0.356 0.288 0.583 Se
0.091 0.819 0.750 Se
0.356 0.288 0.917 Se
```

Properties
total moment	4.9	μB per cell
density	5.865	g cm⁻³
VASP energy	-5.058	eV/atom

=====

Here is a relaxed HoLu2Co9 crystal from the Open Quantum Materials Database. Energies are from PBE-GGA.

```
HoLu2Co9
1.0
-1.341 -1.046 8.311
3.084 -2.931 7.340
2.543 1.918 7.863
Co Ho Lu
9 1 2
direct
0.584 0.584 0.078 Co
0.335 0.335 0.335 Co
0.922 0.416 0.416 Co
0.416 0.922 0.416 Co
0.500 0.500 0.500 Co
0.584 0.078 0.584 Co
0.078 0.584 0.584 Co
0.665 0.665 0.665 Co
0.416 0.416 0.922 Co
0.000 0.000 0.000 Ho
0.140 0.140 0.140 Lu
0.860 0.860 0.860 Lu
```

Properties
energy of formation from the pure elements	-22	kJ per mole of atoms
total moment	10.7	μB per cell
density	10.411	g cm⁻³
VASP energy	-6.691	eV/atom

=====

Here is a relaxed HoLuCo crystal from the Open Quantum Materials Database. Energies are from PBE-GGA.

```
HoLuCo
1.0
5.099 0.000 0.000
0.000 5.099 0.000
0.000 0.000 5.841
Co Ho Lu
2 2 2
direct
0.000 0.000 0.000 Co
0.000 0.000 0.500 Co
0.500 0.500 0.250 Ho
0.500 0.500 0.750 Ho
0.500 0.000 0.000 Lu
0.000 0.500 0.500 Lu
```

Properties
energy of formation from the pure elements	118	kJ per mole of atoms
total moment	2.2	μB per cell
density	8.721	g cm⁻³
energy relative to the lowest polymorph listed for this composition	40.8	kJ/mol of atoms
VASP energy	-4.175	eV/atom

=====

Here is a relaxed Ho2Lu2Co crystal from the Open Quantum Materials Database. Energies are from PBE-GGA.

```
Ho2Lu2Co
1.0
-1.977 -3.564 4.582
1.365 -5.588 2.125
6.866 7.466 3.189
Co Ho Lu
2 4 4
direct
0.118 0.118 0.315 Co
0.882 0.882 0.685 Co
0.513 0.513 0.162 Ho
0.877 0.877 0.306 Ho
0.123 0.123 0.694 Ho
0.487 0.487 0.838 Ho
0.178 0.178 0.074 Lu
0.647 0.647 0.480 Lu
0.353 0.353 0.520 Lu
0.822 0.822 0.926 Lu
```

Properties
energy of formation from the pure elements	-5	kJ per mole of atoms
total moment	0.0	μB per cell
density	9.712	g cm⁻³
VASP energy	-5.112	eV/atom

=====

Here is a relaxed HoLuCo crystal from the Open Quantum Materials Database. Energies are from PBE-GGA.

```
HoLuCo
1.0
-3.355 -2.116 -2.311
-3.787 2.312 -1.180
-0.770 1.049 -4.403
Co Ho Lu
1 1 1
direct
0.250 0.250 0.250 Co
0.750 0.750 0.750 Ho
0.000 0.000 0.000 Lu
```

Properties
energy of formation from the pure elements	78	kJ per mole of atoms
total moment	0.1	μB per cell
density	9.679	g cm⁻³
energy relative to the lowest polymorph listed for this composition	0.0	kJ/mol of atoms
VASP energy	-4.598	eV/atom

=====

Here is a relaxed Ho3Lu3CoTe2 crystal from the Open Quantum Materials Database. Energies are from PBE-GGA.

```
Ho3Lu3CoTe2
1.0
8.260 0.000 0.000
-4.130 7.153 0.000
0.000 0.000 3.859
Co Ho Lu Te
1 3 3 2
direct
0.000 0.000 0.500 Co
0.762 0.000 0.000 Ho
0.238 0.238 0.000 Ho
0.000 0.762 0.000 Ho
0.394 0.000 0.500 Lu
0.000 0.394 0.500 Lu
0.606 0.606 0.500 Lu
0.667 0.333 0.000 Te
0.333 0.667 0.000 Te
```

Properties
total moment	0.4	μB per cell
density	9.714	g cm⁻³
VASP energy	-5.141	eV/atom

=====

Here is a relaxed HoLuCo2Te2 crystal from the Open Quantum Materials Database. Energies are from PBE-GGA.

```
HoLuCo2Te2
1.0
-7.175 4.681 -2.104
-1.990 -3.678 -1.398
-0.996 -4.213 12.503
Co Ho Lu Te
8 4 4 8
direct
0.501 0.000 0.002 Co
0.374 0.500 0.248 Co
0.874 0.500 0.248 Co
0.249 0.000 0.501 Co
0.752 0.000 0.501 Co
0.123 0.500 0.749 Co
0.627 0.500 0.751 Co
0.000 0.000 0.000 Co
0.187 0.500 0.375 Ho
0.688 0.500 0.375 Ho
0.563 0.000 0.625 Ho
0.438 0.500 0.875 Ho
0.312 0.000 0.125 Lu
0.812 0.000 0.125 Lu
0.062 0.000 0.625 Lu
0.938 0.500 0.875 Lu
0.062 0.500 0.124 Te
0.562 0.500 0.125 Te
0.437 0.000 0.374 Te
0.937 0.000 0.375 Te
0.311 0.500 0.625 Te
0.815 0.500 0.626 Te
0.186 0.000 0.875 Te
0.690 0.000 0.876 Te
```

Properties
total moment	0.0	μB per cell
density	9.758	g cm⁻³
VASP energy	-5.666	eV/atom

=====

Here is a relaxed HoTmMgCo2 crystal from the Open Quantum Materials Database. Energies are from PBE-GGA.

```
HoTmMgCo2
1.0
1.325 -4.874 -1.772
-2.525 -2.918 3.709
-1.578 3.559 -3.673
Co Ho Mg Tm
2 1 1 1
direct
0.801 0.500 0.301 Co
0.199 0.500 0.699 Co
0.208 0.208 0.000 Ho
0.500 0.000 0.500 Mg
0.792 0.792 0.000 Tm
```

Properties
total moment	0.0	μB per cell
density	8.364	g cm⁻³
VASP energy	-5.177	eV/atom

=====

Here is a relaxed YHoMgCo2 crystal from the Open Quantum Materials Database. Energies are from PBE-GGA.

```
YHoMgCo2
1.0
-2.097 2.828 4.121
2.097 -2.828 4.121
2.097 2.828 -4.121
Co Ho Mg Y
2 1 1 1
direct
0.802 0.500 0.301 Co
0.199 0.500 0.699 Co
0.208 0.208 0.000 Ho
0.500 0.000 0.500 Mg
0.792 0.792 0.000 Y
```

Properties
total moment	0.0	μB per cell
density	6.728	g cm⁻³
VASP energy	-5.555	eV/atom

=====

Here is a relaxed HoCoMo crystal from the Open Quantum Materials Database. Energies are from PBE-GGA.

```
HoCoMo
1.0
0.000 3.074 3.074
3.074 0.000 3.074
3.074 3.074 0.000
Co Ho Mo
1 1 1
direct
0.250 0.250 0.250 Co
0.750 0.750 0.750 Ho
0.000 0.000 0.000 Mo
```

Properties
energy of formation from the pure elements	82	kJ per mole of atoms
total moment	0.0	μB per cell
density	9.141	g cm⁻³
energy relative to the lowest polymorph listed for this composition	0.0	kJ/mol of atoms
VASP energy	-6.662	eV/atom

=====

Here is a relaxed HoCoMo crystal from the Open Quantum Materials Database. Energies are from PBE-GGA.

```
HoCoMo
1.0
-2.794 -3.410 -0.581
-3.331 0.329 -2.927
0.115 -2.350 -3.773
Co Ho Mo
1 1 1
direct
0.750 0.750 0.750 Co
0.000 0.000 0.000 Ho
0.250 0.250 0.250 Mo
```

Properties
energy of formation from the pure elements	138	kJ per mole of atoms
total moment	3.0	μB per cell
density	8.545	g cm⁻³
energy relative to the lowest polymorph listed for this composition	55.7	kJ/mol of atoms
VASP energy	-6.085	eV/atom

=====

Here is a relaxed Ho3CoN crystal from the Open Quantum Materials Database. Energies are from PBE-GGA.

```
Ho3CoN
1.0
4.646 0.000 0.000
0.000 4.646 0.000
0.000 0.000 4.646
Co Ho N
1 3 1
direct
0.000 0.000 0.000 Co
0.500 0.500 0.000 Ho
0.500 0.000 0.500 Ho
0.000 0.500 0.500 Ho
0.500 0.500 0.500 N
```

Properties
total moment	0.8	μB per cell
density	9.399	g cm⁻³
VASP energy	-6.353	eV/atom

=====

Here is a relaxed HoTmCo2Si2N crystal from the Open Quantum Materials Database. Energies are from PBE-GGA.

```
HoTmCo2Si2N
1.0
-2.194 -2.875 4.296
1.520 -2.856 4.590
0.025 6.689 -0.752
Co Ho N Si Tm
2 1 1 2 1
direct
0.207 0.207 0.095 Co
0.793 0.793 0.904 Co
0.439 0.439 0.717 Ho
0.001 0.001 0.004 N
0.849 0.849 0.304 Si
0.150 0.150 0.694 Si
0.561 0.561 0.282 Tm
```

Properties
total moment	0.9	μB per cell
density	8.412	g cm⁻³
VASP energy	-6.931	eV/atom

=====

Here is a relaxed NaHoCo crystal from the Open Quantum Materials Database. Energies are from PBE-GGA.

```
NaHoCo
1.0
-2.562 1.627 3.463
-4.571 0.305 -0.463
-2.748 -2.840 2.362
Co Ho Na
1 1 1
direct
0.000 0.000 0.000 Co
0.250 0.250 0.250 Ho
0.750 0.750 0.750 Na
```

Properties
total moment	0.3	μB per cell
density	5.938	g cm⁻³
energy relative to the lowest polymorph listed for this composition	0.0	kJ/mol of atoms
VASP energy	-3.772	eV/atom